# MnNbC2

A relaxed structure of MnNbC2 (PBE-GGA, Alexandria).

Cell lengths 3.765, 3.765, 3.765 Å; angles 60.00, 60.00, 60.00 degrees
Positions (direct):
1 C 0.250 0.250 0.250
2 C 0.750 0.750 0.750
3 Mn 0.000 0.000 0.000
4 Nb 0.500 0.500 0.500

Summary:
Energy relative to the elements (eV/atom): 0.6365
Symmetry: Fm-3m
Total moment (μB/cell): 0.0
Calculated volume (A^3/atom): 9.43

***

# MnNb2C

A relaxed structure of MnNb2C (PBE-GGA, Alexandria).

Cell lengths 7.804, 7.804, 5.840 Å; angles 48.08, 48.08, 90.00 degrees
Positions (direct):
1 Nb 0.484 0.125 0.250
2 Nb 0.875 0.734 0.750
3 Nb 0.266 0.625 0.250
4 Nb 0.375 0.516 0.750
5 C 0.250 0.750 0.500
6 C 0.500 0.500 0.000
7 Mn 0.750 0.250 0.500
8 Mn 0.000 0.000 0.000

Summary:
Energy relative to the elements (eV/atom): 0.1228
Symmetry: I-42d
Total moment (μB/cell): 0.0
E above lowest polymorph (meV per atom): 259
Calculated volume (A^3/atom): 14.56